First-principles (PBE with a Hubbard U) data for KTmCoO3 after structural relaxation, as listed in Alexandria.

Properties
Size of the total moment = 6.0 μB per cell
Energy = -76.87 eV per cell
Symmetry = No. 11
Calculated volume = 18.31 A^3/atom

Lattice parameters (Å, degrees): 7.2678 3.4719 9.4072 90.00 112.26 90.00
Fractional coordinates of all 12 atoms:
K (0.2029, 0.2500, 0.1697)
K (0.7971, 0.7500, 0.8303)
Tm (0.3271, 0.7500, 0.8594)
Tm (0.6729, 0.2500, 0.1406)
Co (0.0343, 0.2500, 0.6172)
Co (0.9657, 0.7500, 0.3828)
O (0.1068, 0.2500, 0.8393)
O (0.1639, 0.7500, 0.5972)
O (0.4642, 0.7500, 0.1134)
O (0.5358, 0.2500, 0.8866)
O (0.8361, 0.2500, 0.4028)
O (0.8932, 0.7500, 0.1607)

=====

First-principles (PBE with a Hubbard U) data for K3Tm3CoO8 after structural relaxation, as listed in Alexandria.

Properties
Size of the total moment = 1.1 μB per cell
Energy = -96.93 eV per cell
Symmetry = No. 166
Calculated volume = 15.73 A^3/atom

Lattice parameters (Å, degrees): 7.3282 7.3282 7.3282 53.50 53.50 53.50
Fractional coordinates of all 15 atoms:
K (0.0000, 0.5000, 0.5000)
K (0.5000, 0.0000, 0.5000)
K (0.5000, 0.5000, 0.0000)
Tm (0.0000, 0.0000, 0.5000)
Tm (0.0000, 0.5000, 0.0000)
Tm (0.5000, 0.0000, 0.0000)
Co (0.5000, 0.5000, 0.5000)
O (0.2270, 0.2270, 0.2270)
O (0.2569, 0.7059, 0.7059)
O (0.2941, 0.2941, 0.7432)
O (0.2941, 0.7432, 0.2941)
O (0.7059, 0.2569, 0.7059)
O (0.7059, 0.7059, 0.2569)
O (0.7431, 0.2941, 0.2941)
O (0.7730, 0.7730, 0.7730)

=====

First-principles (PBE with a Hubbard U) data for KUCoO6 after structural relaxation, as listed in Alexandria.

Properties
Size of the total moment = 2.1 μB per cell
Energy = -63.82 eV per cell
Symmetry = No. 5
Calculated volume = 16.17 A^3/atom

Lattice parameters (Å, degrees): 5.2402 5.2402 6.0374 90.31 90.31 118.63
Fractional coordinates of all 9 atoms:
K (0.0000, 0.0000, 0.0000)
U (0.3334, 0.6666, 0.5000)
Co (0.6719, 0.3281, 0.5000)
O (0.3865, 0.3590, 0.3249)
O (0.3995, 0.0268, 0.6796)
O (0.6386, 0.0224, 0.3254)
O (0.6410, 0.6135, 0.6751)
O (0.9732, 0.6005, 0.3204)
O (0.9776, 0.3614, 0.6746)

=====

First-principles (PBE with a Hubbard U) data for K2UCoO6 after structural relaxation, as listed in Alexandria.

Properties
Size of the total moment = 0.9 μB per cell
Energy = -68.17 eV per cell
Symmetry = No. 225
Calculated volume = 12.98 A^3/atom

Lattice parameters (Å, degrees): 5.6828 5.6828 5.6828 60.00 60.00 60.00
Fractional coordinates of all 10 atoms:
K (0.2500, 0.2500, 0.2500)
K (0.7500, 0.7500, 0.7500)
U (0.0000, 0.0000, 0.0000)
Co (0.5000, 0.5000, 0.5000)
O (0.2586, 0.2586, 0.7414)
O (0.2586, 0.7414, 0.2586)
O (0.2586, 0.7414, 0.7414)
O (0.7414, 0.2586, 0.2586)
O (0.7414, 0.2586, 0.7414)
O (0.7414, 0.7414, 0.2586)

=====

First-principles (PBE with a Hubbard U) data for KU2CoO8 after structural relaxation, as listed in Alexandria.

Properties
Size of the total moment = 2.0 μB per cell
Energy = -96.86 eV per cell
Symmetry = No. 12
Calculated volume = 15.09 A^3/atom

Lattice parameters (Å, degrees): 5.1163 5.1163 7.0159 93.28 93.28 81.56
Fractional coordinates of all 12 atoms:
K (0.0000, 0.0000, 0.0000)
U (0.4924, 0.4924, 0.7415)
U (0.5076, 0.5076, 0.2585)
Co (0.0000, 0.0000, 0.5000)
O (0.1888, 0.7862, 0.3078)
O (0.2138, 0.8112, 0.6922)
O (0.3285, 0.3285, 0.5105)
O (0.3431, 0.3431, 0.0232)
O (0.6569, 0.6569, 0.9768)
O (0.6715, 0.6715, 0.4895)
O (0.7862, 0.1888, 0.3078)
O (0.8112, 0.2138, 0.6922)

=====

First-principles (PBE with a Hubbard U) data for K3UCo2O6 after structural relaxation, as listed in Alexandria.

Properties
Size of the total moment = 7.0 μB per cell
Energy = -76.71 eV per cell
Symmetry = No. 12
Calculated volume = 14.32 A^3/atom

Lattice parameters (Å, degrees): 5.6729 5.6729 6.4548 98.18 98.18 120.31
Fractional coordinates of all 12 atoms:
K (0.0000, 0.0000, 0.0000)
K (0.3252, 0.6748, 0.0000)
K (0.6748, 0.3252, 0.0000)
U (0.5000, 0.5000, 0.5000)
Co (0.1668, 0.8332, 0.5000)
Co (0.8332, 0.1668, 0.5000)
O (0.1085, 0.4372, 0.3175)
O (0.2340, 0.2340, 0.6864)
O (0.4372, 0.1085, 0.3175)
O (0.5628, 0.8915, 0.6825)
O (0.7660, 0.7660, 0.3136)
O (0.8915, 0.5628, 0.6825)

=====

First-principles (PBE with a Hubbard U) data for K2U3CoO12 after structural relaxation, as listed in Alexandria.

Properties
Size of the total moment = 1.0 μB per cell
Energy = -145.44 eV per cell
Symmetry = No. 166
Calculated volume = 17.16 A^3/atom

Lattice parameters (Å, degrees): 7.3590 7.3590 7.3590 64.39 64.39 64.39
Fractional coordinates of all 18 atoms:
K (0.1396, 0.1396, 0.1396)
K (0.8604, 0.8604, 0.8604)
U (0.0000, 0.5000, 0.5000)
U (0.5000, 0.0000, 0.5000)
U (0.5000, 0.5000, 0.0000)
Co (0.5000, 0.5000, 0.5000)
O (0.1716, 0.1716, 0.5525)
O (0.1716, 0.5525, 0.1716)
O (0.2102, 0.5552, 0.5552)
O (0.4448, 0.4448, 0.7898)
O (0.4448, 0.7898, 0.4448)
O (0.4475, 0.8284, 0.8284)
O (0.5525, 0.1716, 0.1716)
O (0.5552, 0.2102, 0.5552)
O (0.5552, 0.5552, 0.2102)
O (0.7898, 0.4448, 0.4448)
O (0.8284, 0.4475, 0.8284)
O (0.8284, 0.8284, 0.4475)

=====

First-principles (PBE with a Hubbard U) data for K2VCoO4 after structural relaxation, as listed in Alexandria.

Properties
Size of the total moment = 4.0 μB per cell
Energy = -47.81 eV per cell
Symmetry = No. 82
Calculated volume = 16.19 A^3/atom

Lattice parameters (Å, degrees): 5.6123 5.6123 5.6123 117.38 117.38 94.60
Fractional coordinates of all 8 atoms:
K (0.0000, 0.0000, 0.0000)
K (0.7500, 0.2500, 0.5000)
V (0.2500, 0.7500, 0.5000)
Co (0.5000, 0.5000, 0.0000)
O (0.2364, 0.1084, 0.6071)
O (0.3707, 0.7636, 0.8720)
O (0.5013, 0.6293, 0.3929)
O (0.8916, 0.4987, 0.1280)

=====

First-principles (PBE with a Hubbard U) data for K2VCoO5 after structural relaxation, as listed in Alexandria.

Properties
Size of the total moment = 4.0 μB per cell
Energy = -107.28 eV per cell
Symmetry = No. 36
Calculated volume = 19.30 A^3/atom

Lattice parameters (Å, degrees): 7.2036 7.2036 13.5937 90.00 90.00 150.49
Fractional coordinates of all 18 atoms:
K (0.1006, 0.8994, 0.5000)
K (0.1220, 0.8780, 0.7820)
K (0.8780, 0.1220, 0.2820)
K (0.8994, 0.1006, 0.0000)
V (0.3689, 0.6311, 0.4948)
V (0.6311, 0.3689, 0.9948)
Co (0.2299, 0.7701, 0.1246)
Co (0.7701, 0.2299, 0.6246)
O (0.1193, 0.8807, 0.0398)
O (0.2820, 0.7180, 0.4098)
O (0.3009, 0.6991, 0.6274)
O (0.3508, 0.6492, 0.1441)
O (0.4742, 0.5258, 0.4309)
O (0.5258, 0.4742, 0.9309)
O (0.6492, 0.3508, 0.6441)
O (0.6991, 0.3009, 0.1274)
O (0.7180, 0.2820, 0.9098)
O (0.8807, 0.1193, 0.5398)

=====

First-principles (PBE with a Hubbard U) data for KVCoO4 after structural relaxation, as listed in Alexandria.

Properties
Size of the total moment = 6.0 μB per cell
Energy = -90.08 eV per cell
Symmetry = No. 11
Calculated volume = 15.90 A^3/atom

Lattice parameters (Å, degrees): 4.9794 5.8201 8.0260 90.00 106.91 90.00
Fractional coordinates of all 14 atoms:
K (0.1739, 0.2500, 0.1428)
K (0.8261, 0.7500, 0.8572)
V (0.3773, 0.2500, 0.7154)
V (0.6227, 0.7500, 0.2846)
Co (0.1287, 0.7500, 0.5112)
Co (0.8713, 0.2500, 0.4888)
O (0.1400, 0.0112, 0.6814)
O (0.1400, 0.4888, 0.6814)
O (0.3692, 0.7500, 0.0916)
O (0.4803, 0.7500, 0.4568)
O (0.5197, 0.2500, 0.5432)
O (0.6308, 0.2500, 0.9084)
O (0.8600, 0.5112, 0.3186)
O (0.8600, 0.9888, 0.3186)

=====

First-principles (PBE with a Hubbard U) data for K3Co2WO6 after structural relaxation, as listed in Alexandria.

Properties
Size of the total moment = 7.0 μB per cell
Energy = -68.43 eV per cell
Symmetry = No. 12
Calculated volume = 13.59 A^3/atom

Lattice parameters (Å, degrees): 5.6372 5.6372 6.3102 97.85 97.85 122.07
Fractional coordinates of all 12 atoms:
K (0.0000, 0.0000, 0.0000)
K (0.3244, 0.6756, 0.0000)
K (0.6756, 0.3244, 0.0000)
Co (0.1753, 0.8247, 0.5000)
Co (0.8247, 0.1753, 0.5000)
W (0.5000, 0.5000, 0.5000)
O (0.1204, 0.4340, 0.3230)
O (0.2643, 0.2643, 0.6855)
O (0.4340, 0.1204, 0.3230)
O (0.5660, 0.8796, 0.6770)
O (0.7357, 0.7357, 0.3145)
O (0.8796, 0.5660, 0.6770)

=====

First-principles (PBE with a Hubbard U) data for K2CoW3O12 after structural relaxation, as listed in Alexandria.

Properties
Size of the total moment = 1.0 μB per cell
Energy = -120.39 eV per cell
Symmetry = No. 166
Calculated volume = 14.83 A^3/atom

Lattice parameters (Å, degrees): 7.1239 7.1239 7.1239 61.96 61.96 61.96
Fractional coordinates of all 18 atoms:
K (0.1386, 0.1386, 0.1386)
K (0.8614, 0.8614, 0.8614)
Co (0.5000, 0.5000, 0.5000)
W (0.0000, 0.5000, 0.5000)
W (0.5000, 0.0000, 0.5000)
W (0.5000, 0.5000, 0.0000)
O (0.1813, 0.1813, 0.5569)
O (0.1813, 0.5569, 0.1813)
O (0.1967, 0.5589, 0.5589)
O (0.4411, 0.4411, 0.8033)
O (0.4411, 0.8033, 0.4411)
O (0.4431, 0.8187, 0.8187)
O (0.5569, 0.1813, 0.1813)
O (0.5589, 0.1967, 0.5589)
O (0.5589, 0.5589, 0.1967)
O (0.8033, 0.4411, 0.4411)
O (0.8187, 0.4431, 0.8187)
O (0.8187, 0.8187, 0.4431)